# 1
Computed, not measured: a relaxed structure of Ta5Al4 at the GGA-PBEsol level of DFT.

a b c (Å): 7.9484 7.9484 5.4223
angles (deg): 90.00 90.00 120.00
Space group P6_3/mcm (No. 193)
Inequivalent atoms, fractional coordinates:
1 Ta 0.0000 0.2822 0.2500 (multiplicity 6)
2 Ta 0.3333 0.6667 0.0000 (multiplicity 4)
3 Al 0.0000 0.0000 0.0000 (multiplicity 2)
4 Al 0.0000 0.3843 0.7500 (multiplicity 6)

Summary:
The value obtained for the total DFT energy (no corrections) is -8.97 eV/atom. As for the crystal system: hexagonal. The formation energy is -180.3 meV per atom.

---

# 2
Computed, not measured: a relaxed structure of TaAl2 at the GGA-PBEsol level of DFT.

a b c (Å): 5.665 3.808 8.834
angles (deg): 90.00 90.00 90.00
Space group Pnma (No. 62)
Inequivalent atoms, fractional coordinates:
1 Ta 0.121 0.250 0.102 (multiplicity 4)
2 Al 0.121 0.250 0.430 (multiplicity 4)
3 Al 0.143 0.250 0.763 (multiplicity 4)

Summary:
The value obtained for the total DFT energy (no corrections) is -7.18 eV/atom. As for the crystal system: orthorhombic. The formation energy is -263.7 meV per atom.

---

# 3
Computed, not measured: a relaxed structure of TaAl2 at the GGA-PBEsol level of DFT.

a b c (Å): 10.389 2.856 6.820
angles (deg): 90.00 104.74 90.00
Space group Cm (No. 8)
Inequivalent atoms, fractional coordinates:
1 Ta 0.000 0.000 0.000 (multiplicity 2)
2 Ta 0.178 0.500 0.358 (multiplicity 2)
3 Al 0.115 0.500 0.734 (multiplicity 2)
4 Al 0.279 0.000 0.070 (multiplicity 2)
5 Al 0.338 0.000 0.674 (multiplicity 2)
6 Al 0.454 0.500 0.392 (multiplicity 2)

Summary:
The value obtained for the total DFT energy (no corrections) is -7.11 eV/atom. As for the crystal system: monoclinic. The formation energy is -202.0 meV per atom.

---

# 4
Computed, not measured: a relaxed structure of Ta3Al at the GGA-PBEsol level of DFT.

a b c (Å): 3.410 4.456 8.995
angles (deg): 90.00 90.00 90.00
Space group Cmmm (No. 65)
Inequivalent atoms, fractional coordinates:
1 Ta 0.000 0.000 0.000 (multiplicity 2)
2 Ta 0.000 0.500 0.256 (multiplicity 4)
3 Al 0.000 0.000 0.500 (multiplicity 2)

Summary:
The value obtained for the total DFT energy (no corrections) is -10.53 eV/atom. As for the crystal system: orthorhombic. The formation energy is -91.9 meV per atom.

---

# 5
Computed, not measured: a relaxed structure of Ta24Al19 at the GGA-PBEsol level of DFT.

a b c (Å): 9.835 9.834 16.244
angles (deg): 90.00 116.39 90.00
Space group P2_1/c (No. 14)
Inequivalent atoms, fractional coordinates:
1 Ta 0.039 0.013 0.223 (multiplicity 4)
2 Ta 0.043 0.640 0.014 (multiplicity 4)
3 Ta 0.150 0.157 0.970 (multiplicity 4)
4 Ta 0.184 0.055 0.409 (multiplicity 4)
5 Ta 0.220 0.568 0.638 (multiplicity 4)
6 Ta 0.286 0.570 0.359 (multiplicity 4)
7 Ta 0.319 0.080 0.588 (multiplicity 4)
8 Ta 0.321 0.704 0.023 (multiplicity 4)
9 Ta 0.346 0.658 0.835 (multiplicity 4)
10 Ta 0.396 0.098 0.316 (multiplicity 4)
11 Ta 0.422 0.227 0.979 (multiplicity 4)
12 Ta 0.449 0.123 0.781 (multiplicity 4)
13 Al 0.071 0.601 0.457 (multiplicity 4)
14 Al 0.074 0.730 0.190 (multiplicity 4)
15 Al 0.089 0.710 0.851 (multiplicity 4)
16 Al 0.127 0.027 0.671 (multiplicity 4)
17 Al 0.182 0.214 0.150 (multiplicity 4)
18 Al 0.189 0.204 0.812 (multiplicity 4)
19 Al 0.332 0.660 0.190 (multiplicity 4)
20 Al 0.399 0.531 0.541 (multiplicity 4)
21 Al 0.434 0.156 0.151 (multiplicity 4)
22 Al 0.500 0.000 0.500 (multiplicity 2)

Summary:
The value obtained for the total DFT energy (no corrections) is -9.07 eV/atom. As for the crystal system: monoclinic. The formation energy is -255.4 meV per atom.

---

# 6
Computed, not measured: a relaxed structure of Ta2Al at the GGA-PBEsol level of DFT.

a b c (Å): 3.464 3.464 18.595
angles (deg): 90.00 90.00 90.00
Space group I4_1/amd (No. 141, origin choice 2)
Inequivalent atoms, fractional coordinates:
1 Ta 0.000 0.250 0.305 (multiplicity 8)
2 Al 0.000 0.250 0.875 (multiplicity 4)

Summary:
The value obtained for the total DFT energy (no corrections) is -9.09 eV/atom. As for the crystal system: tetragonal. The formation energy is 643.8 meV per atom.

---

# 7
Computed, not measured: a relaxed structure of Ta2Al at the GGA-PBEsol level of DFT.

a b c (Å): 6.056 3.631 9.216
angles (deg): 90.00 90.00 90.00
Space group Pnma (No. 62)
Inequivalent atoms, fractional coordinates:
1 Ta 0.111 0.250 0.243 (multiplicity 4)
2 Ta 0.130 0.250 0.584 (multiplicity 4)
3 Al 0.138 0.250 0.915 (multiplicity 4)

Summary:
The value obtained for the total DFT energy (no corrections) is -9.88 eV/atom. As for the crystal system: orthorhombic. The formation energy is -146.5 meV per atom.

---

# 8
Computed, not measured: a relaxed structure of TaAl at the GGA-PBEsol level of DFT.

a b c (Å): 9.185 8.025 5.330
angles (deg): 90.00 90.00 90.00
Space group Pbcm (No. 57)
Inequivalent atoms, fractional coordinates:
1 Ta 0.126 0.250 0.000 (multiplicity 4)
2 Ta 0.179 0.643 0.250 (multiplicity 4)
3 Ta 0.350 0.023 0.250 (multiplicity 4)
4 Al 0.066 0.546 0.750 (multiplicity 4)
5 Al 0.361 0.116 0.750 (multiplicity 4)
6 Al 0.428 0.750 0.000 (multiplicity 4)

Summary:
The value obtained for the total DFT energy (no corrections) is -8.51 eV/atom. As for the crystal system: orthorhombic. The formation energy is -188.2 meV per atom.

---

# 9
Computed, not measured: a relaxed structure of Ta3Al at the GGA-PBEsol level of DFT.

a b c (Å): 6.160 9.496 4.654
angles (deg): 90.00 90.00 90.00
Space group Cmcm (No. 63)
Inequivalent atoms, fractional coordinates:
1 Ta 0.000 0.134 0.250 (multiplicity 4)
2 Ta 0.239 0.393 0.250 (multiplicity 8)
3 Al 0.000 0.343 0.750 (multiplicity 4)

Summary:
The value obtained for the total DFT energy (no corrections) is -10.58 eV/atom. As for the crystal system: orthorhombic. The formation energy is -144.5 meV per atom.

---

# 10
Computed, not measured: a relaxed structure of TaAl2 at the GGA-PBEsol level of DFT.

a b c (Å): 3.930 3.930 24.558
angles (deg): 90.00 90.00 90.00
Space group I4_1/amd (No. 141, origin choice 2)
Inequivalent atoms, fractional coordinates:
1 Ta 0.000 0.250 0.298 (multiplicity 8)
2 Al 0.000 0.250 0.124 (multiplicity 8)
3 Al 0.000 0.250 0.787 (multiplicity 8)

Summary:
The value obtained for the total DFT energy (no corrections) is -7.13 eV/atom. As for the crystal system: tetragonal. The formation energy is -217.4 meV per atom.

---

# 11
Computed, not measured: a relaxed structure of TaAl at the GGA-PBEsol level of DFT.

a b c (Å): 2.9090 2.9090 9.1921
angles (deg): 90.00 90.00 120.00
Space group P6_3/mmc (No. 194)
Inequivalent atoms, fractional coordinates:
1 Ta 0.0000 0.0000 0.0000 (multiplicity 2)
2 Al 0.3333 0.6667 0.2500 (multiplicity 2)

Summary:
The value obtained for the total DFT energy (no corrections) is -8.50 eV/atom. As for the crystal system: hexagonal. The formation energy is -183.4 meV per atom.

---

# 12
Computed, not measured: a relaxed structure of Ta5Al3 at the GGA-PBEsol level of DFT.

a b c (Å): 10.259 10.259 5.073
angles (deg): 90.00 90.00 90.00
Space group I4/mcm (No. 140)
Inequivalent atoms, fractional coordinates:
1 Ta 0.000 0.500 0.250 (multiplicity 4)
2 Ta 0.075 0.223 0.000 (multiplicity 16)
3 Al 0.000 0.000 0.250 (multiplicity 4)
4 Al 0.166 0.334 0.500 (multiplicity 8)

Summary:
The value obtained for the total DFT energy (no corrections) is -9.58 eV/atom. As for the crystal system: tetragonal. The formation energy is -197.7 meV per atom.

---

# 13
Computed, not measured: a relaxed structure of Ta2Al at the GGA-PBEsol level of DFT.

a b c (Å): 3.392 13.459 4.434
angles (deg): 90.00 90.00 90.00
Space group Cmcm (No. 63)
Inequivalent atoms, fractional coordinates:
1 Ta 0.000 0.071 0.250 (multiplicity 4)
2 Ta 0.000 0.261 0.750 (multiplicity 4)
3 Al 0.000 0.401 0.250 (multiplicity 4)

Summary:
The value obtained for the total DFT energy (no corrections) is -9.89 eV/atom. As for the crystal system: orthorhombic. The formation energy is -156.0 meV per atom.

---

# 14
Computed, not measured: a relaxed structure of Ta3Al at the GGA-PBEsol level of DFT.

a b c (Å): 3.919 3.919 17.838
angles (deg): 90.00 90.00 90.00
Space group I4/mmm (No. 139)
Inequivalent atoms, fractional coordinates:
1 Ta 0.000 0.000 0.124 (multiplicity 4)
2 Ta 0.000 0.500 0.000 (multiplicity 4)
3 Ta 0.000 0.500 0.250 (multiplicity 4)
4 Al 0.000 0.000 0.375 (multiplicity 4)

Summary:
The value obtained for the total DFT energy (no corrections) is -10.49 eV/atom. As for the crystal system: tetragonal. The formation energy is -51.1 meV per atom.

---

# 15
Computed, not measured: a relaxed structure of TaAl2 at the GGA-PBEsol level of DFT.

a b c (Å): 3.885 13.167 3.763
angles (deg): 90.00 90.00 90.00
Space group Cmcm (No. 63)
Inequivalent atoms, fractional coordinates:
1 Ta 0.000 0.086 0.250 (multiplicity 4)
2 Al 0.000 0.250 0.750 (multiplicity 4)
3 Al 0.000 0.424 0.250 (multiplicity 4)

Summary:
The value obtained for the total DFT energy (no corrections) is -7.15 eV/atom. As for the crystal system: orthorhombic. The formation energy is -243.2 meV per atom.

---

# 16
Computed, not measured: a relaxed structure of Ta5Al3 at the GGA-PBEsol level of DFT.

a b c (Å): 8.567 8.690 3.595
angles (deg): 90.00 90.00 90.00
Space group Cmmm (No. 65)
Inequivalent atoms, fractional coordinates:
1 Ta 0.000 0.000 0.000 (multiplicity 2)
2 Ta 0.245 0.500 0.500 (multiplicity 4)
3 Ta 0.250 0.250 0.000 (multiplicity 4)
4 Al 0.000 0.249 0.500 (multiplicity 4)
5 Al 0.000 0.500 0.000 (multiplicity 2)

Summary:
The value obtained for the total DFT energy (no corrections) is -9.57 eV/atom. As for the crystal system: orthorhombic. The formation energy is -186.4 meV per atom.

---

# 17
Computed, not measured: a relaxed structure of TaAl at the GGA-PBEsol level of DFT.

a b c (Å): 2.9031 2.9031 4.6058
angles (deg): 90.00 90.00 120.00
Space group P-6m2 (No. 187)
Inequivalent atoms, fractional coordinates:
1 Ta 0.0000 0.0000 0.0000 (multiplicity 1)
2 Al 0.6667 0.3333 0.5000 (multiplicity 1)

Summary:
The value obtained for the total DFT energy (no corrections) is -8.50 eV/atom. As for the crystal system: hexagonal. The formation energy is -178.1 meV per atom.

---

# 18
Computed, not measured: a relaxed structure of Ta3Al4 at the GGA-PBEsol level of DFT.

a b c (Å): 5.3638 5.3638 4.9711
angles (deg): 90.00 90.00 120.00
Space group P6/mmm (No. 191)
Inequivalent atoms, fractional coordinates:
1 Ta 0.0000 0.5000 0.0000 (multiplicity 3)
2 Al 0.0000 0.0000 0.2477 (multiplicity 2)
3 Al 0.3333 0.6667 0.5000 (multiplicity 2)

Summary:
The value obtained for the total DFT energy (no corrections) is -7.67 eV/atom. As for the crystal system: hexagonal. The formation energy is 50.8 meV per atom.